Entry 1:
A plane-wave DFT calculation with PBE was carried out for crystalline TaBeNb3 at its relaxed geometry.

POSCAR file:
```
TaBeNb3
1.0
4.455 0.000 0.000
0.000 4.455 0.000
0.000 0.000 4.455
Nb Be Ta
3 1 1
Cartesian
0.000 2.228 0.000
0.000 0.000 2.228
2.228 0.000 0.000
0.000 0.000 0.000
2.228 2.228 2.228
```

The value obtained for the energy relative to the elements is 2.83 eV per formula unit. The total energy comes out at -8.59 eV per atom.

***

Entry 2:
A plane-wave DFT calculation with PBE was carried out for crystalline ZrAlTc2 at its relaxed geometry.

POSCAR file:
```
ZrAlTc2
1.0
-0.356 0.052 2.839
1.047 -2.531 -0.828
7.880 2.956 0.934
Al Zr Tc
1 1 2
Cartesian
6.256 0.977 1.706
2.316 -0.501 1.239
4.055 1.521 0.481
7.765 2.912 0.921
```

The value obtained for the energy relative to the elements is -0.56 eV per formula unit. The total energy comes out at -8.40 eV per atom.

***

Entry 3:
A plane-wave DFT calculation with PBE was carried out for crystalline Ho2RhSe at its relaxed geometry.

POSCAR file:
```
Ho2RhSe
1.0
-3.090 -2.758 0.319
0.916 -0.594 3.732
-7.485 8.520 1.167
Ho Rh Se
4 2 2
Cartesian
-8.005 4.826 4.758
-4.273 0.459 3.147
-5.386 4.709 2.071
-1.654 0.342 0.460
-2.486 -1.632 2.376
-7.172 6.800 2.842
-3.503 2.506 1.259
-6.155 2.662 3.960
```

Its formation energy without anion corrections is -5.21 eV per formula unit. The total energy comes out at -6.30 eV per atom.